# 1
An optimized crystal structure of MgSbAu2, computed with PBE.

The structure belongs to space group I4/mmm (No. 139); the cell edges are 4.3703, 4.3703 and 8.4442 Å and the angles 90.00°, 90.00° and 90.00°. Symmetry generates all atoms from Mg at (0.0000, 0.0000, 0.0000), Sb at (0.0000, 0.0000, 0.5000) and Au at (0.0000, 0.5000, 0.2500).

The value obtained for the uncorrected formation energy is -0.224 eV per atom. The value obtained for the total energy is -3.292 eV/atom.


# 2
An optimized crystal structure of MgSbAu, computed with PBE.

The structure belongs to space group P1 (No. 1); the cell edges are 4.2153, 5.4170 and 6.9345 Å and the angles 88.56°, 72.38° and 67.14°. Symmetry generates all atoms from Mg at (0.0000, 0.0000, 0.0000), Mg at (0.1043, 0.4764, 0.3117), Sb at (0.3302, 0.9301, 0.4101), Sb at (0.4017, 0.4007, 0.7885), Au at (0.6826, 0.5727, 0.0572) and Au at (0.7466, 0.8275, 0.6823).

The value obtained for the uncorrected formation energy is -0.273 eV per atom. The value obtained for the total energy is -3.272 eV/atom.


# 3
An optimized crystal structure of MgSbAu, computed with PBE.

The structure belongs to space group Cm (No. 8); the cell edges are 8.1155, 4.6891 and 7.9043 Å and the angles 90.00°, 109.82° and 90.00°. Symmetry generates all atoms from Mg at (0.0000, 0.0000, 0.0000), Mg at (0.0847, 0.5000, 0.7539), Sb at (0.3546, 0.5000, 0.5613), Sb at (0.4085, 0.0000, 0.2280), Au at (0.2063, 0.5000, 0.1205) and Au at (0.2316, 0.0000, 0.6947).

The value obtained for the uncorrected formation energy is -0.294 eV per atom. The value obtained for the total energy is -3.293 eV/atom.


# 4
An optimized crystal structure of MgSbAu2, computed with PBE.

The structure belongs to space group Pmm2 (No. 25); the cell edges are 3.8658, 3.9252 and 5.6367 Å and the angles 90.00°, 90.00° and 90.00°. Symmetry generates all atoms from Mg at (0.0000, 0.0000, 0.0000), Sb at (0.5000, 0.5000, 0.3563), Au at (0.0000, 0.0000, 0.5022) and Au at (0.5000, 0.5000, 0.8578).

The value obtained for the uncorrected formation energy is -0.210 eV per atom. The value obtained for the total energy is -3.278 eV/atom.


# 5
An optimized crystal structure of Mg2Sb2Au, computed with PBE.

The structure belongs to space group P4/mbm (No. 127); the cell edges are 7.3067, 7.3067 and 4.5181 Å and the angles 90.00°, 90.00° and 90.00°. Symmetry generates all atoms from Mg at (0.1616, 0.3384, 0.0000), Sb at (0.1437, 0.6437, 0.5000) and Au at (0.0000, 0.0000, 0.0000).

The value obtained for the uncorrected formation energy is -0.107 eV per atom. The value obtained for the total energy is -3.049 eV/atom. The energy above the most stable polymorph in this dataset comes out at 0 meV per atom.


# 6
An optimized crystal structure of MgSbAu2, computed with PBE.

The structure belongs to space group I-4m2 (No. 119); the cell edges are 4.2265, 4.2265 and 9.0564 Å and the angles 90.00°, 90.00° and 90.00°. Symmetry generates all atoms from Mg at (0.0000, 0.0000, 0.0000), Sb at (0.0000, 0.5000, 0.2500), Au at (0.0000, 0.0000, 0.5000) and Au at (0.0000, 0.5000, 0.7500).

The value obtained for the uncorrected formation energy is -0.213 eV per atom. The value obtained for the total energy is -3.281 eV/atom.